1.
The following is a DFT calculation (PBE) of an optimized crystal structure of Pr3Cd2Rh.

Cell: 17.1662 5.4902 7.2486 Å, 90.00 90.07 90.00°
Last column: nearest neighbours and their distance in Å.
Space group C2/c (No. 15)
Unique sites:
Pr1 0.0000 0.0031 0.2500 x4  2 Rh 2.74-2.75
Pr2 0.1348 0.5000 0.0002 x8  2 Rh 2.94
Cd1 0.1982 0.0003 0.2495 x8  4 Cd 3.27-3.62, 7 Pr 3.39-3.47
Rh1 0.0000 0.4968 0.7500 x4  6 Pr 2.74-2.94

calculated total energy = -4.29 eV/atom
magnetic moment = 0.00 μB/f.u.


2.
The following is a DFT calculation (PBE) of an optimized crystal structure of PrCd9Rh3.

Cell: 5.7721 13.4807 7.4562 Å, 90.00 112.46 90.00°
Last column: nearest neighbours and their distance in Å.
Space group C2/m (No. 12)
Unique sites:
Pr1 0.0000 0.0000 0.0000 x2  12 Cd 3.27-3.60
Cd1 0.0000 0.5000 0.5000 x2  8 Cd 2.87-3.04, 2 Rh 2.89
Cd2 0.1113 0.3890 0.2142 x8  3 Rh 2.77-2.86, 5 Cd 2.87-3.01
Cd3 0.1500 0.1740 0.3300 x8  3 Rh 2.84-2.95, 4 Cd 3.01-3.12
Rh1 0.0000 0.0000 0.5000 x2  10 Cd 2.86-2.95
Rh2 0.2500 0.2500 0.0000 x4  8 Cd 2.77-2.92, 2 Rh 2.89

calculated total energy = -2.90 eV/atom
magnetic moment = 0.00 μB/f.u.


3.
The following is a DFT calculation (PBE) of an optimized crystal structure of Pr4Cd2Rh.

Cell: 6.9666 3.8494 8.7923 Å, 90.00 106.32 90.00°
Last column: nearest neighbours and their distance in Å.
Space group P2/m (No. 10)
Unique sites:
Pr1 0.0951 0.0000 0.2987 x2  1 Rh 2.88
Pr2 0.3923 0.5000 0.6942 x2  2 Rh 2.81
Cd1 0.2093 0.5000 0.0011 x2  1 Cd 2.91
Rh1 0.5000 0.0000 0.5000 x1  6 Pr 2.81-2.88

calculated total energy = -4.27 eV/atom
magnetic moment = 0.00 μB/f.u.


4.
The following is a DFT calculation (PBE) of an optimized crystal structure of Pr7Cd2Rh2.

Cell: 8.2296 11.4384 7.4179 Å, 90.00 90.00 90.00°
Last column: nearest neighbours and their distance in Å.
Space group Cmmm (No. 65)
Unique sites:
Pr1 0.0000 0.0000 0.0000 x2  2 Rh 3.32
Pr2 0.0000 0.5000 0.2451 x4  2 Rh 3.01, 2 Cd 3.30
Pr3 0.2500 0.2500 0.2540 x8  2 Rh 2.83
Cd1 0.1712 0.0000 0.5000 x4  1 Cd 2.82
Rh1 0.0000 0.2906 0.0000 x4  6 Pr 2.83-3.01

calculated total energy = -4.83 eV/atom
magnetic moment = 0.00 μB/f.u.